Compound: HfZrRe2
Source: Alexandria via LeMat-Bulk
Functional: PBE-GGA
Structure: relaxed

Structure (POSCAR):
```
HfZrRe2
1.0
7.409 0.000 0.000
0.000 7.409 0.000
3.705 3.705 2.782
Re Hf Zr
4 2 2
direct
0.626 0.125 0.250 Re
0.124 0.625 0.250 Re
0.375 0.374 0.750 Re
0.875 0.876 0.750 Re
0.000 0.000 0.000 Hf
0.750 0.250 0.500 Hf
0.500 0.500 0.000 Zr
0.250 0.750 0.500 Zr
```

Summary:
Space-group type: I-42d, No. 122



Compound: HfZrRe
Source: Alexandria via LeMat-Bulk
Functional: PBE-GGA
Structure: relaxed

Structure (POSCAR):
```
HfZrRe
1.0
3.323 0.000 0.000
-1.662 7.020 0.633
0.000 -0.448 4.994
Hf Zr Re
2 2 2
direct
0.607 0.215 0.250 Hf
0.393 0.785 0.750 Hf
0.912 0.823 0.250 Zr
0.088 0.177 0.750 Zr
0.256 0.512 0.250 Re
0.744 0.488 0.750 Re
```

Summary:
E above lowest polymorph: 0.1433 eV/atom
Space-group type: Cmcm, No. 63



Compound: HfZrRe
Source: Alexandria via LeMat-Bulk
Functional: PBE-GGA
Structure: relaxed

Structure (POSCAR):
```
HfZrRe
1.0
3.274 -0.001 -0.790
-2.059 6.705 -1.376
-0.366 -0.057 5.685
Hf Zr Re
2 2 2
direct
0.788 0.885 0.691 Hf
0.212 0.115 0.309 Hf
0.912 0.565 0.258 Zr
0.088 0.435 0.742 Zr
0.442 0.806 0.078 Re
0.558 0.194 0.922 Re
```

Summary:
E above lowest polymorph: 0.1051 eV/atom
Space-group type: C2/m, No. 12



Compound: HfZr2Re2
Source: Alexandria via LeMat-Bulk
Functional: PBE-GGA
Structure: relaxed

Structure (POSCAR):
```
HfZr2Re2
1.0
-3.002 6.374 2.565
-6.828 -3.077 -0.344
0.357 -1.160 3.300
Re Hf Zr
4 2 4
direct
0.358 0.858 0.000 Re
0.858 0.642 0.000 Re
0.642 0.142 0.000 Re
0.142 0.358 0.000 Re
0.000 0.000 0.000 Hf
0.500 0.500 0.000 Hf
0.158 0.658 0.500 Zr
0.658 0.842 0.500 Zr
0.842 0.342 0.500 Zr
0.342 0.158 0.500 Zr
```

Summary:
Space-group type: P4/mbm, No. 127



Compound: HfZrRe
Source: Alexandria via LeMat-Bulk
Functional: PBE-GGA
Structure: relaxed

Structure (POSCAR):
```
HfZrRe
1.0
-0.455 2.481 -2.048
-3.133 -4.922 -2.688
-5.323 1.650 3.181
Hf Re Zr
2 2 2
direct
0.625 0.250 0.750 Hf
0.375 0.750 0.250 Hf
0.000 0.000 0.500 Re
0.000 0.000 0.000 Re
0.633 0.265 0.250 Zr
0.367 0.735 0.750 Zr
```

Summary:
E above lowest polymorph: 0.2016 eV/atom
Space-group type: Cmcm, No. 63



Compound: Hf2Rh3
Source: Alexandria via LeMat-Bulk
Functional: PBE-GGA
Structure: relaxed

Structure (POSCAR):
```
Hf2Rh3
1.0
4.425 0.000 0.000
-2.213 3.833 0.000
0.000 -0.005 5.430
Hf Rh
2 3
direct
0.833 0.667 0.196 Hf
0.167 0.333 0.804 Hf
0.167 0.334 0.321 Rh
0.500 0.000 0.000 Rh
0.833 0.666 0.679 Rh
```

Summary:
Space-group type: P-3m1, No. 164



Compound: Hf3Rh4
Source: Alexandria via LeMat-Bulk
Functional: PBE-GGA
Structure: relaxed

Structure (POSCAR):
```
Hf3Rh4
1.0
-3.364 3.758 -2.370
-4.373 -5.442 1.947
3.001 3.471 5.610
Hf Rh
6 8
direct
0.104 0.604 0.862 Hf
0.242 0.138 0.743 Hf
0.499 0.257 0.396 Hf
0.896 0.396 0.138 Hf
0.758 0.862 0.257 Hf
0.501 0.743 0.604 Hf
0.500 0.000 0.000 Rh
0.000 0.000 0.000 Rh
0.952 0.703 0.541 Rh
0.411 0.459 0.162 Rh
0.249 0.838 0.297 Rh
0.048 0.297 0.459 Rh
0.589 0.541 0.838 Rh
0.751 0.162 0.703 Rh
```

Summary:
Space-group type: R-3, No. 148



Compound: Hf7Rh3
Source: Alexandria via LeMat-Bulk
Functional: PBE-GGA
Structure: relaxed

Structure (POSCAR):
```
Hf7Rh3
1.0
-5.682 0.384 0.721
-0.970 -8.427 -3.159
1.218 1.400 8.859
Hf Rh
14 6
direct
0.095 0.667 0.333 Hf
0.595 0.333 0.667 Hf
0.928 0.868 0.735 Hf
0.928 0.868 0.132 Hf
0.928 0.265 0.132 Hf
0.428 0.132 0.265 Hf
0.428 0.132 0.868 Hf
0.428 0.735 0.868 Hf
0.137 0.463 0.926 Hf
0.137 0.463 0.537 Hf
0.137 0.074 0.537 Hf
0.637 0.537 0.074 Hf
0.637 0.537 0.463 Hf
0.637 0.926 0.463 Hf
0.872 0.191 0.382 Rh
0.872 0.191 0.809 Rh
0.872 0.618 0.809 Rh
0.372 0.809 0.618 Rh
0.372 0.809 0.191 Rh
0.372 0.382 0.191 Rh
```

Summary:
Space-group type: P6_3mc, No. 186



Compound: Hf3Rh2
Source: Alexandria via LeMat-Bulk
Functional: PBE-GGA
Structure: relaxed

Structure (POSCAR):
```
Hf3Rh2
1.0
3.267 0.000 0.000
0.000 11.321 0.000
0.000 0.000 10.433
Hf Rh
12 8
direct
0.250 0.630 0.563 Hf
0.250 0.870 0.063 Hf
0.750 0.370 0.437 Hf
0.750 0.130 0.937 Hf
0.750 0.039 0.636 Hf
0.750 0.461 0.136 Hf
0.250 0.961 0.364 Hf
0.250 0.539 0.864 Hf
0.250 0.269 0.713 Hf
0.250 0.231 0.213 Hf
0.750 0.731 0.287 Hf
0.750 0.769 0.787 Hf
0.250 0.175 0.477 Rh
0.250 0.325 0.977 Rh
0.750 0.825 0.523 Rh
0.750 0.675 0.023 Rh
0.750 0.466 0.675 Rh
0.750 0.034 0.175 Rh
0.250 0.534 0.325 Rh
0.250 0.966 0.825 Rh
```

Summary:
Space-group type: Pnma, No. 62



Compound: Hf2RuRh
Source: Alexandria via LeMat-Bulk
Functional: PBE-GGA
Structure: relaxed

Structure (POSCAR):
```
Hf2RuRh
1.0
3.246 0.000 0.000
0.000 4.613 0.000
0.000 0.000 9.215
Hf Ru Rh
4 2 2
direct
0.000 0.250 0.123 Hf
0.000 0.750 0.877 Hf
0.000 0.250 0.627 Hf
0.000 0.750 0.373 Hf
0.500 0.250 0.874 Ru
0.500 0.750 0.126 Ru
0.500 0.250 0.374 Rh
0.500 0.750 0.626 Rh
```

Summary:
E above lowest polymorph: 0.0069 eV/atom
Space-group type: Pmma, No. 51



Compound: Hf2RuRh
Source: Alexandria via LeMat-Bulk
Functional: PBE-GGA
Structure: relaxed

Structure (POSCAR):
```
Hf2RuRh
1.0
0.000 3.257 3.257
3.257 0.000 3.257
3.257 3.257 0.000
Rh Hf Ru
1 2 1
direct
0.500 0.500 0.500 Rh
0.250 0.250 0.250 Hf
0.750 0.750 0.750 Hf
0.000 0.000 0.000 Ru
```

Summary:
E above lowest polymorph: 0.0124 eV/atom
Space-group type: Fm-3m, No. 225



Compound: Hf12RuRh6
Source: Alexandria via LeMat-Bulk
Functional: PBE-GGA
Structure: relaxed

Structure (POSCAR):
```
Hf12RuRh6
1.0
7.650 -0.075 -0.089
-1.233 7.550 -0.089
-1.233 -1.437 7.412
Hf Ru Rh
12 1 6
direct
0.825 0.572 0.416 Hf
0.416 0.825 0.572 Hf
0.572 0.416 0.825 Hf
0.175 0.428 0.584 Hf
0.584 0.175 0.428 Hf
0.428 0.584 0.175 Hf
0.067 0.943 0.323 Hf
0.057 0.677 0.933 Hf
0.677 0.933 0.057 Hf
0.933 0.057 0.677 Hf
0.943 0.323 0.067 Hf
0.323 0.067 0.943 Hf
0.000 0.000 0.000 Ru
0.695 0.863 0.387 Rh
0.613 0.305 0.137 Rh
0.137 0.613 0.305 Rh
0.305 0.137 0.613 Rh
0.387 0.695 0.863 Rh
0.863 0.387 0.695 Rh
```

Summary:
Space-group type: R-3, No. 148



Compound: Hf6Ru5Rh
Source: Alexandria via LeMat-Bulk
Functional: PBE-GGA
Structure: relaxed

Structure (POSCAR):
```
Hf6Ru5Rh
1.0
-2.723 -0.308 3.686
-4.597 -2.810 -3.631
6.313 -4.629 1.402
Ru Hf Rh
5 6 1
direct
0.666 0.166 0.333 Ru
0.333 0.334 0.667 Ru
0.000 0.500 0.000 Ru
0.667 0.666 0.333 Ru
0.334 0.834 0.667 Ru
0.833 0.582 0.665 Hf
0.833 0.084 0.665 Hf
0.500 0.748 0.000 Hf
0.500 0.252 0.000 Hf
0.167 0.916 0.335 Hf
0.167 0.418 0.335 Hf
0.000 0.000 0.000 Rh
```

Summary:
Space-group type: C2/m, No. 12



Compound: Hf2RuRh2
Source: Alexandria via LeMat-Bulk
Functional: PBE-GGA
Structure: relaxed

Structure (POSCAR):
```
Hf2RuRh2
1.0
-1.184 -5.712 -4.036
4.738 2.357 -4.725
2.489 -1.685 1.655
Rh Hf Ru
4 4 2
direct
0.371 0.871 0.000 Rh
0.871 0.629 0.000 Rh
0.629 0.129 0.000 Rh
0.129 0.371 0.000 Rh
0.177 0.677 0.500 Hf
0.677 0.823 0.500 Hf
0.823 0.323 0.500 Hf
0.323 0.177 0.500 Hf
0.000 0.000 0.000 Ru
0.500 0.500 0.000 Ru
```

Summary:
E above lowest polymorph: 0.0000 eV/atom
Space-group type: P4/mbm, No. 127



Compound: Hf2RuRh2
Source: Alexandria via LeMat-Bulk
Functional: PBE-GGA
Structure: relaxed

Structure (POSCAR):
```
Hf2RuRh2
1.0
-4.876 2.991 -4.419
-5.114 -0.908 5.027
0.702 3.002 1.257
Rh Hf Ru
4 4 2
direct
0.141 0.641 0.500 Rh
0.641 0.859 0.500 Rh
0.859 0.359 0.500 Rh
0.359 0.141 0.500 Rh
0.338 0.838 0.000 Hf
0.838 0.662 0.000 Hf
0.662 0.162 0.000 Hf
0.162 0.338 0.000 Hf
0.000 0.000 0.000 Ru
0.500 0.500 0.000 Ru
```

Summary:
E above lowest polymorph: 0.0877 eV/atom
Space-group type: P4/mbm, No. 127



Compound: HfRuRh
Source: Alexandria via LeMat-Bulk
Functional: PBE-GGA
Structure: relaxed

Structure (POSCAR):
```
HfRuRh
1.0
4.330 0.000 0.000
2.165 4.857 -1.157
2.165 -0.855 4.919
Hf Rh Ru
2 2 2
direct
0.000 0.817 0.183 Hf
0.000 0.183 0.817 Hf
0.500 0.649 0.351 Rh
0.500 0.351 0.649 Rh
0.753 0.747 0.747 Ru
0.247 0.253 0.253 Ru
```

Summary:
Space-group type: Immm, No. 71



Compound: Hf4Ru2Rh
Source: Alexandria via LeMat-Bulk
Functional: PBE-GGA
Structure: relaxed

Structure (POSCAR):
```
Hf4Ru2Rh
1.0
-4.949 1.439 2.141
-0.485 -0.620 -5.525
1.681 -4.802 2.295
Hf Ru Rh
4 2 1
direct
0.500 0.000 0.000 Hf
0.500 0.500 0.500 Hf
0.000 0.000 0.500 Hf
0.000 0.500 0.000 Hf
0.500 0.500 0.000 Ru
0.500 0.000 0.500 Ru
0.000 0.000 0.000 Rh
```

Summary:
Space-group type: I4/mmm, No. 139



Compound: HfRuRh3
Source: Alexandria via LeMat-Bulk
Functional: PBE-GGA
Structure: relaxed

Structure (POSCAR):
```
HfRuRh3
1.0
4.631 0.000 0.000
0.000 4.631 0.000
0.000 0.000 4.631
Rh Hf Ru
3 1 1
direct
0.000 0.500 0.000 Rh
0.000 0.000 0.500 Rh
0.500 0.000 0.000 Rh
0.500 0.500 0.500 Hf
0.000 0.000 0.000 Ru
```

Summary:
E above lowest polymorph: 0.0000 eV/atom
Space-group type: Pm-3m, No. 221



Compound: Hf2RuRh
Source: Alexandria via LeMat-Bulk
Functional: PBE-GGA
Structure: relaxed

Structure (POSCAR):
```
Hf2RuRh
1.0
3.239 0.000 0.000
0.000 3.239 0.000
0.000 0.000 6.585
Rh Hf Ru
1 2 1
direct
0.500 0.500 0.500 Rh
0.000 0.000 0.752 Hf
0.000 0.000 0.248 Hf
0.500 0.500 0.000 Ru
```

Summary:
E above lowest polymorph: 0.0000 eV/atom
Space-group type: P4/mmm, No. 123



Compound: Hf4RuRh
Source: Alexandria via LeMat-Bulk
Functional: PBE-GGA
Structure: relaxed

Structure (POSCAR):
```
Hf4RuRh
1.0
6.383 0.000 0.048
0.000 6.383 0.000
-0.043 0.000 6.369
Hf Ru Rh
8 2 2
direct
0.749 0.749 0.252 Hf
0.751 0.249 0.748 Hf
0.251 0.251 0.252 Hf
0.249 0.751 0.748 Hf
0.251 0.251 0.748 Hf
0.249 0.751 0.252 Hf
0.749 0.749 0.748 Hf
0.751 0.249 0.252 Hf
0.500 0.000 0.500 Ru
0.000 0.500 0.500 Ru
0.000 0.000 0.000 Rh
0.500 0.500 0.000 Rh
```

Summary:
Space-group type: P4/mbm, No. 127



| no. | formation enthalpy at 0 K (eV/f.u.) | spin magnetization (Bohr magnetons per cell) |
| --- | --- | --- |
| 1 | 2.3 | 0.00 |
| 2 | -0.1 | 0.00 |
| 3 | -0.2 | 0.00 |
| 4 | 0.3 | 0.00 |
| 5 | 0.1 | 0.00 |
| 6 | -3.3 | 0.00 |
| 7 | -6.4 | 0.00 |
| 8 | -5.1 | 0.00 |
| 9 | -3.1 | 0.00 |
| 10 | -3.3 | 0.00 |
| 11 | -3.3 | 0.00 |
| 12 | -6.3 | 0.00 |
| 13 | -9.9 | 0.00 |
| 14 | -2.7 | 0.00 |
| 15 | -2.2 | 0.00 |
| 16 | -1.0 | 0.00 |
| 17 | -4.1 | 0.00 |
| 18 | 4.8 | 0.00 |
| 19 | -3.4 | 0.00 |
| 20 | -2.0 | 0.00 |